Record 1
! Mn2IrRu GGA-PBE optimized geometry; values from VASP
! spin magnetization: 2.7 μB/cell
! DFT formation energy: 0.0227 eV/atom
! DOS at the Fermi energy: 4.9 states/eV/f.u.
&SYSTEM
  ibrav = 0, nat = 4, ntyp = 3
/
ATOMIC_SPECIES
Ir 192.22 Ir.upf
Mn 54.94 Mn.upf
Ru 101.07 Ru.upf
CELL_PARAMETERS angstrom
-0.283 0.758 -4.438
2.150 -0.175 -3.961
-1.321 -4.166 -1.418
ATOMIC_POSITIONS crystal
Ir 0.750 0.750 0.750
Mn 0.000 0.000 0.002
Mn 0.500 0.500 0.498
Ru 0.250 0.250 0.250

Record 2
! AlHgSb2 GGA-PBE optimized geometry; values from VASP
! spin magnetization: 0.0 μB/cell
! DOS at the Fermi energy: 1.3 states/eV/f.u.
! formation energy without anion corrections: 44 kJ/mol of formula units
&SYSTEM
  ibrav = 0, nat = 4, ntyp = 3
/
ATOMIC_SPECIES
Sb 121.76 Sb.upf
Hg 200.59 Hg.upf
Al 26.98 Al.upf
CELL_PARAMETERS angstrom
-2.319 -2.714 0.837
2.073 -2.369 -1.938
6.355 -3.992 4.661
ATOMIC_POSITIONS crystal
Sb 0.000 0.931 0.067
Sb 0.000 0.569 0.433
Hg 0.500 0.750 0.750
Al 0.500 0.250 0.250

Record 3
! Cr2IrRh3 GGA-PBE optimized geometry; values from VASP
! spin magnetization: 0.0 μB/cell
! DFT formation energy: 0.1683 eV/atom
! DOS at the Fermi energy: 3.3 states/eV/f.u.
&SYSTEM
  ibrav = 0, nat = 12, ntyp = 3
/
ATOMIC_SPECIES
Cr 52.00 Cr.upf
Ir 192.22 Ir.upf
Rh 102.91 Rh.upf
CELL_PARAMETERS angstrom
5.677 -0.003 -0.003
0.003 5.677 -0.003
0.003 0.003 5.677
ATOMIC_POSITIONS crystal
Cr 0.000 0.000 0.000
Cr 0.500 0.000 0.500
Cr 0.500 0.500 0.000
Cr 0.000 0.500 0.500
Ir 0.250 0.250 0.750
Ir 0.750 0.750 0.250
Rh 0.250 0.750 0.750
Rh 0.750 0.250 0.750
Rh 0.250 0.250 0.250
Rh 0.250 0.750 0.250
Rh 0.750 0.250 0.250
Rh 0.750 0.750 0.750

Record 4
! LiPr8Cd2 GGA-PBE optimized geometry; values from VASP
! spin magnetization: 0.0 μB/cell
! DFT formation energy: -0.0534 eV/atom
! DOS at the Fermi energy: 11.6 states/eV/f.u.
&SYSTEM
  ibrav = 0, nat = 11, ntyp = 3
/
ATOMIC_SPECIES
Li 6.94 Li.upf
Pr 140.91 Pr.upf
Cd 112.41 Cd.upf
CELL_PARAMETERS angstrom
-4.135 -3.171 1.592
0.658 -3.912 -6.082
7.655 -2.612 5.359
ATOMIC_POSITIONS crystal
Li 0.500 0.000 0.000
Pr 0.407 0.539 0.814
Pr 0.661 0.960 0.322
Pr 0.806 0.715 0.612
Pr 0.978 0.239 0.956
Pr 0.194 0.285 0.388
Pr 0.339 0.040 0.678
Pr 0.593 0.461 0.186
Pr 0.022 0.761 0.044
Cd 0.811 0.282 0.622
Cd 0.189 0.718 0.378